Record 1
# BaTl4Ir

An optimized crystal structure of BaTl4Ir (PBE-GGA, the Alexandria database).

The structure belongs to space group F-43m (No. 216); the cell edges are 8.8754, 8.8754 and 8.8754 Å and the angles 90.00°, 90.00° and 90.00°. The asymmetric unit holds Ba at (0.0000, 0.0000, 0.0000), Tl at (0.1235, 0.1235, 0.3765) and Ir at (0.2500, 0.2500, 0.7500).

As for the calculated volume: 699.1 Å³/cell. The energy relative to the elements is 0.3846 eV/atom.

---

Record 2
# ScAlSeBr2

An optimized crystal structure of ScAlSeBr2 (PBE-GGA, the Alexandria database).

The structure belongs to space group P4/mmm (No. 123); the cell edges are 5.3487, 5.3487 and 5.1913 Å and the angles 90.00°, 90.00° and 90.00°. The asymmetric unit holds Sc at (0.0000, 0.0000, 0.0000), Al at (0.5000, 0.5000, 0.5000), Se at (0.0000, 0.0000, 0.5000) and Br at (0.0000, 0.5000, 0.0000).

As for the calculated volume: 148.5 Å³/cell. The calculation puts the offset from the most stable computed form at 0 meV per atom.

---

Record 3
# Al2VCuH

An optimized crystal structure of Al2VCuH (PBE-GGA, the Alexandria database).

The structure belongs to space group P4/mmm (No. 123); the cell edges are 3.9910, 3.9910 and 3.5925 Å and the angles 90.00°, 90.00° and 90.00°. The asymmetric unit holds Al at (0.0000, 0.5000, 0.0000), V at (0.0000, 0.0000, 0.5000), Cu at (0.5000, 0.5000, 0.5000) and H at (0.0000, 0.0000, 0.0000).

As for the calculated volume: 57.2 Å³/cell. For the uncorrected energy, the calculation gives -24.25 eV per cell.

---

> Among the records above, which one has the highest calculated volume?

BaTl4Ir

---

> Look up the calculated volume of the second one.

148.5 Å³/cell

---

> Number 2 is which compound?

ScAlSeBr2

---

> Which of these has the highest calculated volume?

BaTl4Ir